Record 1
The following is a DFT calculation (GGA-PBEsol) of an optimized crystal structure of CuSeO3.

a = 5.293 Å, b = 8.940 Å, c = 7.447 Å
α = 90.00°, β = 130.05°, γ = 90.00°
Atoms (fractional coordinates):
Cu1 0.115 0.016 0.356
Cu2 0.115 0.484 0.856
Cu3 0.885 0.516 0.144
Cu4 0.885 0.984 0.644
Se1 0.312 0.707 0.607
Se2 0.312 0.793 0.107
Se3 0.688 0.207 0.893
Se4 0.688 0.293 0.393
O1 0.065 0.137 0.128
O2 0.065 0.363 0.628
O3 0.172 0.607 0.096
O4 0.172 0.893 0.596
O5 0.361 0.639 0.847
O6 0.361 0.861 0.347
O7 0.639 0.139 0.653
O8 0.639 0.361 0.153
O9 0.828 0.107 0.404
O10 0.828 0.393 0.904
O11 0.935 0.637 0.372
O12 0.935 0.863 0.872

Calculated values
Space-group type: P2_1/c (14)
Formation energy without anion corrections: -0.656 eV per atom
Total magnetization: 0.00 μB per cell

Record 2
The following is a DFT calculation (GGA-PBEsol) of an optimized crystal structure of CuSeO3.

a = 5.933 Å, b = 12.158 Å, c = 6.965 Å
α = 90.00°, β = 90.00°, γ = 90.00°
Atoms (fractional coordinates):
Cu1 0.153 0.094 0.078
Cu2 0.153 0.406 0.578
Cu3 0.347 0.594 0.078
Cu4 0.347 0.906 0.578
Cu5 0.653 0.094 0.422
Cu6 0.653 0.406 0.922
Cu7 0.847 0.594 0.422
Cu8 0.847 0.906 0.922
Se1 0.108 0.145 0.555
Se2 0.108 0.355 0.055
Se3 0.392 0.645 0.555
Se4 0.392 0.855 0.055
Se5 0.608 0.145 0.945
Se6 0.608 0.355 0.445
Se7 0.892 0.645 0.945
Se8 0.892 0.855 0.445
O1 0.027 0.589 0.148
O2 0.027 0.911 0.648
O3 0.139 0.567 0.544
O4 0.139 0.933 0.044
O5 0.209 0.235 0.958
O6 0.209 0.265 0.458
O7 0.291 0.735 0.958
O8 0.291 0.765 0.458
O9 0.361 0.067 0.544
O10 0.361 0.433 0.044
O11 0.473 0.089 0.148
O12 0.473 0.411 0.648
O13 0.527 0.589 0.352
O14 0.527 0.911 0.852
O15 0.639 0.567 0.956
O16 0.639 0.933 0.456
O17 0.709 0.235 0.542
O18 0.709 0.265 0.042
O19 0.791 0.735 0.542
O20 0.791 0.765 0.042
O21 0.861 0.067 0.956
O22 0.861 0.433 0.456
O23 0.973 0.089 0.352
O24 0.973 0.411 0.852

Calculated values
Space-group type: Pbca (61)
Formation energy without anion corrections: -0.667 eV per atom
Total magnetization: 0.00 μB per cell

Record 3
The following is a DFT calculation (GGA-PBEsol) of an optimized crystal structure of CuSeO3.

a = 4.714 Å, b = 8.633 Å, c = 10.363 Å
α = 67.45°, β = 87.96°, γ = 89.47°
Atoms (fractional coordinates):
Cu1 0.000 0.000 0.000
Cu2 0.000 0.000 0.500
Cu3 0.028 0.642 0.335
Cu4 0.462 0.988 0.257
Cu5 0.538 0.012 0.743
Cu6 0.972 0.358 0.665
Se1 0.030 0.749 0.830
Se2 0.423 0.307 0.884
Se3 0.459 0.275 0.472
Se4 0.541 0.725 0.528
Se5 0.577 0.693 0.116
Se6 0.970 0.251 0.170
O1 0.049 0.205 0.342
O2 0.115 0.071 0.150
O3 0.212 0.406 0.496
O4 0.219 0.689 0.155
O5 0.284 0.448 0.733
O6 0.300 0.077 0.578
O7 0.302 0.774 0.387
O8 0.318 0.116 0.877
O9 0.384 0.787 0.827
O10 0.616 0.213 0.173
O11 0.682 0.884 0.123
O12 0.698 0.226 0.613
O13 0.700 0.923 0.422
O14 0.716 0.552 0.267
O15 0.781 0.311 0.845
O16 0.788 0.594 0.504
O17 0.885 0.929 0.850
O18 0.951 0.795 0.658

Calculated values
Space-group type: P-1 (2)
Formation energy without anion corrections: -0.664 eV per atom
Total magnetization: 3.57 μB per cell

Record 4
The following is a DFT calculation (GGA-PBEsol) of an optimized crystal structure of CuSeO3.

a = 12.600 Å, b = 7.447 Å, c = 5.734 Å
α = 90.00°, β = 90.00°, γ = 90.00°
Atoms (fractional coordinates):
Cu1 0.097 0.041 0.160
Cu2 0.097 0.459 0.160
Cu3 0.403 0.541 0.660
Cu4 0.403 0.959 0.660
Cu5 0.597 0.041 0.340
Cu6 0.597 0.459 0.340
Cu7 0.903 0.541 0.840
Cu8 0.903 0.959 0.840
Se1 0.098 0.250 0.679
Se2 0.172 0.750 0.577
Se3 0.328 0.250 0.077
Se4 0.402 0.750 0.179
Se5 0.598 0.250 0.821
Se6 0.672 0.750 0.923
Se7 0.828 0.250 0.423
Se8 0.902 0.750 0.321
O1 0.017 0.250 0.444
O2 0.041 0.075 0.844
O3 0.041 0.425 0.844
O4 0.178 0.561 0.404
O5 0.178 0.939 0.404
O6 0.185 0.250 0.119
O7 0.315 0.750 0.619
O8 0.322 0.061 0.904
O9 0.322 0.439 0.904
O10 0.459 0.575 0.344
O11 0.459 0.925 0.344
O12 0.483 0.750 0.944
O13 0.517 0.250 0.056
O14 0.541 0.075 0.656
O15 0.541 0.425 0.656
O16 0.678 0.561 0.096
O17 0.678 0.939 0.096
O18 0.685 0.250 0.381
O19 0.815 0.750 0.881
O20 0.822 0.061 0.596
O21 0.822 0.439 0.596
O22 0.959 0.575 0.156
O23 0.959 0.925 0.156
O24 0.983 0.750 0.556

Calculated values
Space-group type: Pnma (62)
Formation energy without anion corrections: -0.646 eV per atom
Total magnetization: 0.00 μB per cell

Record 5
The following is a DFT calculation (GGA-PBEsol) of an optimized crystal structure of Cu4Se3O10.

a = 7.944 Å, b = 8.129 Å, c = 8.300 Å
α = 76.81°, β = 65.50°, γ = 81.86°
Atoms (fractional coordinates):
Cu1 0.013 0.369 0.176
Cu2 0.105 0.162 0.486
Cu3 0.179 0.553 0.387
Cu4 0.409 0.438 0.734
Cu5 0.591 0.562 0.266
Cu6 0.821 0.447 0.613
Cu7 0.895 0.838 0.514
Cu8 0.987 0.631 0.824
Se1 0.096 0.201 0.839
Se2 0.340 0.815 0.526
Se3 0.448 0.283 0.118
Se4 0.552 0.717 0.882
Se5 0.660 0.185 0.474
Se6 0.904 0.799 0.161
O1 0.020 0.640 0.043
O2 0.028 0.387 0.398
O3 0.048 0.801 0.267
O4 0.125 0.918 0.578
O5 0.264 0.651 0.713
O6 0.278 0.325 0.033
O7 0.280 0.307 0.660
O8 0.354 0.132 0.304
O9 0.359 0.708 0.358
O10 0.410 0.467 0.213
O11 0.590 0.533 0.787
O12 0.641 0.292 0.642
O13 0.646 0.868 0.696
O14 0.720 0.693 0.340
O15 0.722 0.675 0.967
O16 0.736 0.349 0.287
O17 0.875 0.082 0.422
O18 0.952 0.199 0.733
O19 0.972 0.613 0.602
O20 0.980 0.360 0.957

Calculated values
Space-group type: P-1 (2)
Formation energy without anion corrections: -0.652 eV per atom
Total magnetization: 4.00 μB per cell

Record 6
The following is a DFT calculation (GGA-PBEsol) of an optimized crystal structure of Cu2SeO4.

a = 8.864 Å, b = 8.864 Å, c = 8.864 Å
α = 90.00°, β = 90.00°, γ = 90.00°
Atoms (fractional coordinates):
Cu1 0.117 0.383 0.617
Cu2 0.123 0.876 0.136
Cu3 0.124 0.636 0.377
Cu4 0.136 0.123 0.876
Cu5 0.364 0.877 0.376
Cu6 0.376 0.364 0.877
Cu7 0.377 0.124 0.636
Cu8 0.383 0.617 0.117
Cu9 0.617 0.117 0.383
Cu10 0.623 0.624 0.864
Cu11 0.624 0.864 0.623
Cu12 0.636 0.377 0.124
Cu13 0.864 0.623 0.624
Cu14 0.876 0.136 0.123
Cu15 0.877 0.376 0.364
Cu16 0.883 0.883 0.883
Se1 0.040 0.540 0.960
Se2 0.215 0.215 0.215
Se3 0.285 0.785 0.715
Se4 0.460 0.460 0.460
Se5 0.540 0.960 0.040
Se6 0.715 0.285 0.785
Se7 0.785 0.715 0.285
Se8 0.960 0.040 0.540
O1 0.010 0.010 0.010
O2 0.018 0.533 0.765
O3 0.033 0.277 0.183
O4 0.033 0.735 0.982
O5 0.183 0.033 0.277
O6 0.223 0.817 0.533
O7 0.235 0.518 0.967
O8 0.240 0.260 0.740
O9 0.260 0.740 0.240
O10 0.265 0.482 0.467
O11 0.277 0.183 0.033
O12 0.317 0.967 0.777
O13 0.467 0.265 0.482
O14 0.467 0.723 0.683
O15 0.482 0.467 0.265
O16 0.490 0.990 0.510
O17 0.510 0.490 0.990
O18 0.518 0.967 0.235
O19 0.533 0.223 0.817
O20 0.533 0.765 0.018
O21 0.683 0.467 0.723
O22 0.723 0.683 0.467
O23 0.735 0.982 0.033
O24 0.740 0.240 0.260
O25 0.760 0.760 0.760
O26 0.765 0.018 0.533
O27 0.777 0.317 0.967
O28 0.817 0.533 0.223
O29 0.967 0.235 0.518
O30 0.967 0.777 0.317
O31 0.982 0.033 0.735
O32 0.990 0.510 0.490

Calculated values
Space-group type: P2_13 (198)
Formation energy without anion corrections: -0.628 eV per atom
Energy above the most stable polymorph in this dataset: 0.0028 eV per atom
Total magnetization: 8.27 μB per cell